(1)
Below is an optimized crystal structure of CeBiH, with properties calculated at the PBE-GGA level.

Computed properties:
Space-group type: P-6m2 (187)
VASP energy (eV per atom): -5.0003

abc: 4.0732 4.0732 4.5193
angles: 90.00 90.00 120.00
Closest atoms and distances in Å follow each position.
Atoms (fractional coordinates):
Ce: 0.0000 0.0000 0.0000  3 H 2.35
Bi: 0.6667 0.3333 0.5000  6 Ce 3.26, 6 H 3.26
H: 0.3333 0.6667 0.0000  3 Ce 2.35



(2)
Below is an optimized crystal structure of Ce5Bi2HIr, with properties calculated at the PBE-GGA level.

Computed properties:
Space-group type: P4/mmm (123)
VASP energy (eV per atom): -6.0750

abc: 4.5050 4.5050 11.8620
angles: 90.00 90.00 90.00
Closest atoms and distances in Å follow each position.
Atoms (fractional coordinates):
Ce: 0.0000 0.0000 0.0000  4 Ir 3.19, 2 Bi 3.44
Ce: 0.0000 0.5000 0.5000  2 H 2.25
Ce: 0.5000 0.0000 0.5000  2 H 2.25
Ce: 0.5000 0.5000 0.2190  1 Ir 2.60
Ce: 0.5000 0.5000 0.7810  1 Ir 2.60
Bi: 0.0000 0.0000 0.2896  9 Ce 3.29-3.44
Bi: 0.0000 0.0000 0.7104  9 Ce 3.29-3.44
H: 0.5000 0.5000 0.5000  4 Ce 2.25
Ir: 0.5000 0.5000 0.0000  2 Ce 2.60



(3)
Below is an optimized crystal structure of CeBiH8Ir2, with properties calculated at the PBE-GGA level.

Computed properties:
Space-group type: R-3m (166)
VASP energy (eV per atom): -4.5560

abc: 6.6830 6.6830 6.6830
angles: 43.50 43.50 43.50
Closest atoms and distances in Å follow each position.
Atoms (fractional coordinates):
Ce: 0.0000 0.0000 0.0000  6 H 2.29
Bi: 0.5000 0.5000 0.5000  12 H 2.71
H: 0.0342 0.0342 0.6097  1 Ir 1.66
H: 0.0342 0.6097 0.0342  1 Ir 1.66
H: 0.3253 0.3253 0.3253  1 Ir 1.62
H: 0.3903 0.9658 0.9658  1 Ir 1.66
H: 0.6097 0.0342 0.0342  1 Ir 1.66
H: 0.6747 0.6747 0.6747  1 Ir 1.62
H: 0.9658 0.3903 0.9658  1 Ir 1.66
H: 0.9658 0.9658 0.3903  1 Ir 1.66
Ir: 0.2361 0.2361 0.2361  4 H 1.62-1.66
Ir: 0.7639 0.7639 0.7639  4 H 1.62-1.66



(4)
Below is an optimized crystal structure of CeBiH6Ir2, with properties calculated at the PBE-GGA level.

Computed properties:
Space-group type: C2/c (15)
VASP energy (eV per atom): -4.9787

abc: 7.3232 7.3232 4.6373
angles: 90.12 90.12 111.48
Closest atoms and distances in Å follow each position.
Atoms (fractional coordinates):
Ce: 0.1621 0.8379 0.7500  8 H 2.51-2.52
Ce: 0.8379 0.1621 0.2500  8 H 2.51-2.52
Bi: 0.4064 0.5936 0.2500  4 H 2.59-2.60
Bi: 0.5936 0.4064 0.7500  4 H 2.59-2.60
H: 0.0750 0.4422 0.9726  1 Ir 1.63, 1 H 1.63
H: 0.0775 0.4436 0.5243  1 Ir 1.63, 1 H 1.65
H: 0.1295 0.1304 0.9991  2 Ir 1.78
H: 0.1304 0.1295 0.4991  2 Ir 1.78
H: 0.4422 0.0750 0.4726  1 Ir 1.63, 1 H 1.63
H: 0.4436 0.0775 0.0243  1 Ir 1.63, 1 H 1.65
H: 0.5564 0.9225 0.9757  1 Ir 1.63, 1 H 1.65
H: 0.5578 0.9250 0.5274  1 Ir 1.63, 1 H 1.63
H: 0.8696 0.8705 0.5009  2 Ir 1.78
H: 0.8705 0.8696 0.0009  2 Ir 1.78
H: 0.9225 0.5564 0.4757  1 Ir 1.63, 1 H 1.65
H: 0.9250 0.5578 0.0274  1 Ir 1.63, 1 H 1.63
Ir: 0.1629 0.3238 0.7490  4 H 1.63-1.78
Ir: 0.3238 0.1629 0.2490  4 H 1.63-1.78
Ir: 0.6762 0.8371 0.7510  4 H 1.63-1.78
Ir: 0.8371 0.6762 0.2510  4 H 1.63-1.78



(5)
Below is an optimized crystal structure of La2Ce4Bi3H2, with properties calculated at the PBE-GGA level.

Computed properties:
Space-group type: I4/mmm (139)
VASP energy (eV per atom): -5.3100

abc: 13.9271 13.9271 13.9271
angles: 160.43 160.43 27.81
Closest atoms and distances in Å follow each position.
Atoms (fractional coordinates):
La: 0.1996 0.1996 0.0000  1 H 2.51
La: 0.8004 0.8004 0.0000  1 H 2.51
Ce: 0.0839 0.5839 0.5000  2 H 2.45
Ce: 0.4161 0.9161 0.5000  2 H 2.45
Ce: 0.5839 0.0839 0.5000  2 H 2.45
Ce: 0.9161 0.4161 0.5000  2 H 2.45
Bi: 0.3256 0.3256 0.0000  4 Ce 3.40, 5 La 3.41-3.42
Bi: 0.5000 0.5000 0.0000  8 Ce 3.28
Bi: 0.6744 0.6744 0.0000  4 Ce 3.40, 5 La 3.41-3.42
H: 0.1067 0.1067 0.0000  4 Ce 2.45, 1 La 2.51
H: 0.8933 0.8933 0.0000  4 Ce 2.45, 1 La 2.51



(6)
Below is an optimized crystal structure of Ce4Nd2Bi3H2, with properties calculated at the PBE-GGA level.

Computed properties:
Space-group type: I4/mmm (139)
VASP energy (eV per atom): -5.2389

abc: 14.1225 14.1225 14.1225
angles: 161.16 161.16 26.77
Closest atoms and distances in Å follow each position.
Atoms (fractional coordinates):
Ce: 0.0846 0.5846 0.5000  2 H 2.33
Ce: 0.4154 0.9154 0.5000  2 H 2.33
Ce: 0.5846 0.0846 0.5000  2 H 2.33
Ce: 0.9154 0.4154 0.5000  2 H 2.33
Nd: 0.2034 0.2034 0.0000  5 Bi 3.31-3.35, 1 H 3.58
Nd: 0.7966 0.7966 0.0000  5 Bi 3.31-3.35, 1 H 3.58
Bi: 0.3239 0.3239 0.0000  5 Nd 3.31-3.35, 4 Ce 3.42
Bi: 0.5000 0.5000 0.0000  8 Ce 3.28
Bi: 0.6761 0.6761 0.0000  5 Nd 3.31-3.35, 4 Ce 3.42
H: 0.0730 0.0730 0.0000  4 Ce 2.33
H: 0.9270 0.9270 0.0000  4 Ce 2.33



(7)
Below is an optimized crystal structure of Ce2BiPH2, with properties calculated at the PBE-GGA level.

Computed properties:
Space-group type: P-3m1 (164)
VASP energy (eV per atom): -5.4577

abc: 3.9496 3.9496 8.4537
angles: 90.00 90.00 120.00
Closest atoms and distances in Å follow each position.
Atoms (fractional coordinates):
Ce: 0.3333 0.6667 0.2096  3 H 2.29
Ce: 0.6667 0.3333 0.7904  3 H 2.29
Bi: 0.0000 0.0000 0.5000  6 H 3.22, 6 Ce 3.35
P: 0.0000 0.0000 0.0000  6 Ce 2.89, 6 H 3.00
H: 0.3333 0.6667 0.7692  3 Ce 2.29
H: 0.6667 0.3333 0.2308  3 Ce 2.29



(8)
Below is an optimized crystal structure of Ce4BiHPb, with properties calculated at the PBE-GGA level.

Computed properties:
Space-group type: Cmcm (63)
VASP energy (eV per atom): -5.4375

abc: 9.6058 9.6058 6.4448
angles: 90.00 90.00 140.72
Closest atoms and distances in Å follow each position.
Atoms (fractional coordinates):
Ce: 0.0000 0.5000 0.0000  2 H 2.43
Ce: 0.0000 0.5000 0.5000  2 H 2.43
Ce: 0.0715 0.9285 0.7500  1 H 2.40
Ce: 0.4259 0.5741 0.7500  3 Bi 3.29-3.37, 2 Pb 3.30
Ce: 0.5000 0.0000 0.0000  2 H 2.43
Ce: 0.5000 0.0000 0.5000  2 H 2.43
Ce: 0.5741 0.4259 0.2500  3 Bi 3.29-3.37, 2 Pb 3.30
Ce: 0.9285 0.0715 0.2500  1 H 2.40
Bi: 0.3880 0.6120 0.2500  9 Ce 3.29-3.38, 2 H 3.63
Bi: 0.6120 0.3880 0.7500  9 Ce 3.29-3.38, 2 H 3.63
H: 0.2039 0.7961 0.7500  5 Ce 2.40-2.43
H: 0.7961 0.2039 0.2500  5 Ce 2.40-2.43
Pb: 0.1125 0.8875 0.2500  9 Ce 3.30-3.38, 2 H 3.62
Pb: 0.8875 0.1125 0.7500  9 Ce 3.30-3.38, 2 H 3.62